Here is a relaxed Tl12Te5Se3 crystal from Alexandria via LeMat-Bulk. Energies are from PBE.

Results
Magnetic moment (μB/f.u.): 0.00
Space-group type: No. 230
VASP energy (eV/atom): -2.89
Formation energy without anion corrections (eV per atom): -0.17

Structure (POSCAR):
```
Tl12Te5Se3
1.0
-10.308 -0.368 12.468
9.644 -12.980 0.590
8.982 13.435 0.822
Tl Se Te
48 12 20
Direct
0.848 0.273 0.437
0.910 0.075 0.848
0.273 0.848 0.937
0.575 0.727 0.664
0.652 0.063 0.227
0.937 0.348 0.273
0.063 0.410 0.836
0.227 0.563 0.652
0.425 0.152 0.590
0.563 0.227 0.152
0.664 0.227 0.575
0.410 0.348 0.575
0.773 0.437 0.348
0.848 0.575 0.910
0.336 0.563 0.410
0.090 0.925 0.152
0.937 0.590 0.164
0.336 0.773 0.425
0.727 0.575 0.164
0.437 0.664 0.090
0.773 0.336 0.925
0.652 0.590 0.925
0.590 0.937 0.664
0.348 0.410 0.075
0.063 0.652 0.727
0.425 0.273 0.336
0.090 0.164 0.437
0.410 0.063 0.336
0.590 0.652 0.425
0.227 0.664 0.075
0.836 0.925 0.273
0.925 0.836 0.773
0.575 0.848 0.410
0.925 0.090 0.652
0.152 0.727 0.563
0.152 0.425 0.090
0.075 0.164 0.227
0.273 0.425 0.836
0.164 0.075 0.727
0.437 0.773 0.848
0.910 0.836 0.563
0.164 0.090 0.937
0.075 0.910 0.348
0.836 0.910 0.063
0.563 0.336 0.910
0.348 0.937 0.773
0.664 0.437 0.590
0.727 0.152 0.063
0.625 0.250 0.375
0.375 0.625 0.250
0.250 0.125 0.375
0.250 0.625 0.875
0.125 0.250 0.875
0.875 0.125 0.250
0.750 0.875 0.625
0.875 0.750 0.125
0.750 0.375 0.125
0.125 0.875 0.750
0.625 0.375 0.750
0.375 0.750 0.625
0.500 0.000 0.000
0.875 0.250 0.625
0.625 0.875 0.250
0.625 0.750 0.875
0.125 0.375 0.250
0.000 0.500 0.000
0.875 0.625 0.750
0.250 0.875 0.125
0.750 0.625 0.375
0.500 0.500 0.500
0.500 0.500 0.000
0.250 0.375 0.625
0.375 0.125 0.750
0.125 0.750 0.375
0.000 0.000 0.000
0.375 0.250 0.125
0.000 0.000 0.500
0.500 0.000 0.500
0.750 0.125 0.875
0.000 0.500 0.500
```